Density functional theory data (PBE) for crystalline Ag3W at its relaxed geometry.

relative energy among the computed polymorphs: 600 meV/atom
density of states at the Fermi level: 2.0 states/eV/f.u.
calculated volume: 18.1 A^3/atom
energy of formation: 0.9888 eV per atom
magnetic moment: 5.8 Bohr magnetons per cell

a = 5.2527 Å, b = 5.2527 Å, c = 5.2527 Å
α = 90.00°, β = 90.00°, γ = 90.00°
With the nearest neighbours (Å) after each atom.
Space group Pm-3n (No. 223)
One atom of each set of equivalent atoms:
Ag: 0.0000 0.2500 0.5000 [6 per cell]  2 Ag 2.63, 4 W 2.94
W: 0.0000 0.0000 0.0000 [2 per cell]  12 Ag 2.94

=====

Density functional theory data (PBE) for crystalline BeGa2Pt2 at its relaxed geometry.

relative energy among the computed polymorphs: 0 meV/atom
density of states at the Fermi level: 1.1 states/eV/f.u.
calculated volume: 15.1 A^3/atom
energy of formation: -0.4335 eV per atom
magnetic moment: 0.0 Bohr magnetons per cell

a = 6.2030 Å, b = 6.2030 Å, c = 3.9346 Å
α = 90.00°, β = 90.00°, γ = 90.00°
With the nearest neighbours (Å) after each atom.
Space group P4/mbm (No. 127)
One atom of each set of equivalent atoms:
Be: 0.0000 0.0000 0.0000 [2 per cell]  4 Pt 2.32
Ga: 0.1529 0.3471 0.5000 [4 per cell]  6 Pt 2.54-2.78, 1 Ga 2.68
Pt: 0.1636 0.6636 0.0000 [4 per cell]  2 Be 2.32, 2 Ga 2.54